VASP calculation (SCAN) on a crystal of ZrRe2Ru relaxed with PBEsol.

Values from the calculation:
- formation energy (meV per atom) = 1
- crystal system = monoclinic
- VASP energy (eV/atom) = -51.929

Lattice parameters (Å, degrees): 2.763 4.365 5.254 90.00 100.25 90.00
Fractional coordinates of all 4 atoms:
Re 0.025 0.000 0.020
Re 0.763 0.500 0.231
Ru 0.468 0.000 0.510
Zr 0.245 0.500 0.739

VASP calculation (SCAN) on a crystal of BaPt3F relaxed with PBEsol.

Values from the calculation:
- crystal system = cubic
- E_form (uncorrected) (eV per atom) = 1.869
- VASP energy (eV/atom) = -48.865

Lattice parameters (Å, degrees): 5.285 5.285 5.285 90.00 90.00 90.00
Each line ends with the local moment (μB).
Fractional coordinates of all 5 atoms:
Pt 0.500 0.000 0.000  0.15
Pt 0.000 0.000 0.500  0.15
Pt 0.000 0.500 0.000  0.15
F 0.500 0.500 0.500  0.27
Ba 0.000 0.000 0.000  -0.01

VASP calculation (SCAN) on a crystal of La3Cu relaxed with PBEsol.

Values from the calculation:
- formation energy (meV per atom) = -28
- crystal system = orthorhombic
- VASP energy (eV/atom) = -36.157

Lattice parameters (Å, degrees): 3.656 5.530 6.509 115.14 106.31 90.00
Fractional coordinates of all 4 atoms:
La 0.500 0.000 0.000
La 0.289 0.289 0.578
La 0.711 0.711 0.422
Cu 0.000 0.500 0.000

VASP calculation (SCAN) on a crystal of CaFeBiO5 relaxed with PBEsol.

Values from the calculation:
- crystal system = monoclinic
- E_form (uncorrected) (eV per atom) = -1.685
- VASP energy (eV/atom) = -18.876

Lattice parameters (Å, degrees): 5.736 8.620 10.562 90.00 90.00 104.92
Each line ends with the local moment (μB).
Fractional coordinates of all 32 atoms:
O 0.140 0.630 0.029  -0.05
O 0.166 0.188 0.708  0.00
O 0.834 0.312 0.208  0.00
O 0.744 0.691 0.953  0.12
O 0.242 0.497 0.536  -0.10
O 0.834 0.812 0.292  0.00
O 0.860 0.870 0.529  -0.05
O 0.758 0.503 0.464  -0.10
O 0.241 0.000 0.250  0.06
O 0.256 0.809 0.453  0.12
O 0.140 0.130 0.471  -0.05
O 0.256 0.309 0.047  0.12
O 0.759 0.500 0.750  0.06
O 0.860 0.370 0.971  -0.05
O 0.166 0.688 0.792  0.00
O 0.241 0.500 0.250  0.06
O 0.758 0.003 0.036  -0.10
O 0.759 0.000 0.750  0.06
O 0.242 0.997 0.964  -0.10
O 0.744 0.191 0.547  0.12
Ca 0.488 0.836 0.889  0.01
Ca 0.512 0.664 0.389  0.01
Ca 0.488 0.336 0.611  0.01
Ca 0.512 0.164 0.111  0.01
Bi 0.982 0.342 0.403  0.00
Bi 0.018 0.158 0.903  0.00
Bi 0.018 0.658 0.597  0.00
Bi 0.982 0.842 0.097  0.00
Fe 0.926 0.571 0.886  2.90
Fe 0.074 0.929 0.386  2.90
Fe 0.074 0.429 0.114  2.90
Fe 0.926 0.071 0.614  2.90

VASP calculation (SCAN) on a crystal of ScTi2CoGe relaxed with PBEsol.

Values from the calculation:
- formation energy (meV per atom) = 1286
- crystal system = tetragonal
- VASP energy (eV/atom) = -15.252

Lattice parameters (Å, degrees): 4.430 4.430 4.831 90.00 90.00 90.00
Each line ends with the local moment (μB).
Fractional coordinates of all 5 atoms:
Ti 0.500 0.000 0.000  -0.14
Ti 0.000 0.500 0.000  -0.14
Co 0.500 0.500 0.500  2.02
Ge 0.000 0.000 0.500  -0.02
Sc 0.000 0.000 0.000  -0.03

VASP calculation (SCAN) on a crystal of Li2Mn2OF6 relaxed with PBEsol.

Values from the calculation:
- crystal system = triclinic
- E_form (uncorrected) (eV per atom) = -2.777
- VASP energy (eV/atom) = -9.028

Lattice parameters (Å, degrees): 5.401 6.174 8.715 72.51 77.08 86.08
Each line ends with the local moment (μB).
Fractional coordinates of all 22 atoms:
F 0.817 0.711 0.535  0.08
F 0.272 0.493 0.696  0.04
F 0.290 0.086 0.953  0.08
F 0.599 0.701 0.841  0.04
F 0.710 0.914 0.047  0.08
F 0.063 0.903 0.742  0.06
F 0.728 0.507 0.304  0.04
F 0.183 0.289 0.465  0.08
F 0.854 0.275 0.779  0.03
F 0.401 0.299 0.159  0.04
F 0.937 0.097 0.258  0.06
F 0.146 0.725 0.221  0.03
Li 0.528 0.243 0.369  0.00
Li 0.071 0.388 0.273  0.00
Li 0.472 0.757 0.631  0.00
Li 0.929 0.612 0.727  0.00
Mn 0.660 0.999 0.824  3.77
Mn 0.340 0.001 0.176  3.77
Mn 0.207 0.198 0.698  3.71
Mn 0.793 0.802 0.302  3.71
O 0.473 0.901 0.359  0.00
O 0.527 0.099 0.641  0.00

> Which value of VASP energy does entry 1 give?

-51.929 eV/atom

> Which of these has the lowest VASP energy?

ZrRe2Ru